Here is a geometry-optimized Ac2Ga3CuNi4 structure from the Alexandria database. Energies are from GGA-PBE.

Properties
E, eV for the cell shown: -48.73
Magnetization, Bohr magnetons per cell: 0.0
Calculated volume, Å³ per cell: 183
Mass density, g cm⁻³: 8.70

```
Ac2Ga3CuNi4
1.0
4.291 0.000 0.000
0.000 4.291 0.000
0.000 0.000 9.963
Ac Ga Cu Ni
2 3 1 4
Cartesian
0.000 2.146 2.481
2.146 0.000 7.482
0.000 2.146 8.812
2.146 0.000 1.151
2.146 2.146 4.982
0.000 0.000 4.982
0.000 0.000 0.000
0.000 2.146 6.286
2.146 0.000 3.677
2.146 2.146 0.000
```